Record 1
H4Pd2RhPb: optimized geometry, GGA-PBE.

- DOS at the Fermi energy: 0.1551 states/eV per atom
- VASP energy: -35.17 eV/cell

extended XYZ file:
```
8
Lattice="5.076 1.780 0.000 -0.119 5.378 0.000 -2.479 -3.579 3.160" Properties=species:S:1:pos:R:3 pbc="T T T"
H 1.644 0.578 0.000
Rh 0.000 0.000 0.000
H -0.037 1.742 0.000
H 4.154 5.998 1.022
Pd -0.060 2.689 1.580
H 1.675 2.419 2.138
Pb 2.479 3.579 0.000
Pd 2.538 0.890 1.580
```



Record 2
HPdRhPb: optimized geometry, GGA-PBE.

- DOS at the Fermi energy: 0.5955 states/eV per atom
- VASP energy: -19.65 eV/cell

extended XYZ file:
```
4
Lattice="3.170 0.000 -0.007 0.000 3.730 0.000 -1.576 -1.865 4.865" Properties=species:S:1:pos:R:3 pbc="T T T"
Rh -0.048 1.865 4.126
H 1.534 1.865 3.262
Pd 1.540 0.000 2.400
Pb -0.052 1.865 0.776
```



Record 3
H8PdRh2Pb: optimized geometry, GGA-PBE.

- DOS at the Fermi energy: 0.2852 states/eV per atom
- VASP energy: -49.63 eV/cell

extended XYZ file:
```
12
Lattice="4.838 0.000 0.000 2.419 4.190 0.000 2.419 1.397 5.764" Properties=species:S:1:pos:R:3 pbc="T T T"
H 6.319 2.827 0.807
Pd 0.000 0.000 0.000
H 4.126 1.494 0.807
H 5.550 4.093 4.956
H 7.257 4.190 3.526
H 5.608 1.527 4.956
Rh 2.419 1.397 0.604
Rh 7.257 4.190 5.160
H 4.069 4.060 0.807
Pb 4.838 2.793 2.882
H 2.419 1.397 2.238
H 3.357 2.760 4.956
```



Record 4
H8PdRh4Pb: optimized geometry, GGA-PBE.

- DOS at the Fermi energy: 0.3058 states/eV per atom
- VASP energy: -64.12 eV/cell

extended XYZ file:
```
14
Lattice="5.670 0.000 0.000 2.835 4.911 0.000 2.835 1.637 4.744" Properties=species:S:1:pos:R:3 pbc="T T T"
Rh 8.506 3.309 2.355
Rh 5.670 3.274 0.510
Rh 9.893 5.712 2.355
H 5.670 5.306 3.267
Rh 7.118 5.712 2.355
H 4.277 4.079 1.323
H 5.670 1.664 1.323
H 8.506 4.911 3.454
H 2.835 1.637 1.728
H 7.064 4.079 1.323
Pd 8.506 4.911 0.023
H 7.430 2.258 3.267
H 3.911 2.258 3.267
Pb 5.670 3.274 4.289
```



Record 5
HPd2RuPb: optimized geometry, GGA-PBE.

- DOS at the Fermi energy: 0.6573 states/eV per atom
- VASP energy: -26.67 eV/cell

extended XYZ file:
```
5
Lattice="-0.891 -1.570 -3.653 -0.339 -3.700 1.673 -4.071 0.688 0.697" Properties=species:S:1:pos:R:3 pbc="T T T"
Pd -0.169 -1.850 0.836
H 0.000 0.000 0.000
Pd -0.445 -0.785 -1.827
Pb -2.650 -2.291 -0.642
Ru -2.035 0.344 0.348
```



Record 6
HPdPbS2: optimized geometry, GGA-PBE.

- DOS at the Fermi energy: 0.9460 states/eV per atom
- VASP energy: -17.41 eV/cell

extended XYZ file:
```
5
Lattice="4.554 0.000 0.000 0.000 5.859 0.000 0.000 0.000 4.554" Properties=species:S:1:pos:R:3 pbc="T T T"
Pb 0.000 2.930 0.000
Pd 0.000 0.000 0.000
H 2.277 2.930 2.277
S 0.000 0.000 2.277
S 2.277 0.000 0.000
```



Record 7
SbHPd6Pb2: optimized geometry, GGA-PBE.

- DOS at the Fermi energy: 0.4686 states/eV per atom
- VASP energy: -48.25 eV/cell

extended XYZ file:
```
10
Lattice="5.753 0.074 -0.093 0.070 7.033 -0.856 2.842 2.966 3.989" Properties=species:S:1:pos:R:3 pbc="T T T"
Pd 5.472 6.162 1.521
Pd 6.810 8.185 3.067
Pd 7.480 5.428 3.464
Pd 1.185 4.646 -0.425
Pd 1.855 1.889 -0.027
Pd 3.193 3.912 1.518
Pb 5.947 3.211 1.912
H 2.911 3.554 -0.474
Sb 0.000 0.000 0.000
Pb 2.718 6.863 1.128
```



Record 8
Sb2HPdPb: optimized geometry, GGA-PBE.

- DOS at the Fermi energy: 0.4435 states/eV per atom
- VASP energy: -20.45 eV/cell

extended XYZ file:
```
5
Lattice="5.605 0.000 0.000 0.000 5.605 0.000 0.000 0.000 3.444" Properties=species:S:1:pos:R:3 pbc="T T T"
H 0.000 0.000 1.722
Sb 0.000 2.802 0.000
Pb 2.802 2.802 1.722
Pd 0.000 0.000 0.000
Sb 2.802 0.000 0.000
```